Density functional theory data (PBE) for an optimized crystal structure of CrRu3Rh6.

Unit cell a=4.966 b=4.966 c=6.810 alpha=90.00 beta=90.00 gamma=120.00
Sites, in units of the cell vectors:
Cr 0.000 0.000 0.000
Ru 0.000 0.000 0.500
Ru 0.333 0.667 0.500
Ru 0.667 0.333 0.500
Rh 0.000 0.390 0.811
Rh 0.000 0.610 0.189
Rh 0.390 0.000 0.811
Rh 0.390 0.390 0.189
Rh 0.610 0.000 0.189
Rh 0.610 0.610 0.811

E_form ... 0.262 eV/atom
Energy ... -7.894 eV per atom
DOS at the Fermi energy ... 11.7 states/eV/cell